a | An optimized crystal structure of Li2Ca2Te. Source: Alexandria via LeMat-Bulk, functional PBE.

Unit cell a=3.930 b=3.930 c=19.159 alpha=90.00 beta=90.00 gamma=90.00
Fractional coordinates of all 10 atoms:
1 Li 0.000 0.500 0.250
2 Li 0.000 0.500 0.750
3 Li 0.500 0.000 0.250
4 Li 0.500 0.000 0.750
5 Ca 0.000 0.000 0.096
6 Ca 0.000 0.000 0.904
7 Ca 0.500 0.500 0.404
8 Ca 0.500 0.500 0.596
9 Te 0.000 0.000 0.500
10 Te 0.500 0.500 0.000

Values from the calculation:
Density: 2.5 g cm⁻³

b | An optimized crystal structure of Li2Ca2Te. Source: Alexandria via LeMat-Bulk, functional PBE.

Unit cell a=7.547 b=7.547 c=4.772 alpha=90.00 beta=90.00 gamma=90.00
Fractional coordinates of all 10 atoms:
1 Li 0.134 0.366 0.000
2 Li 0.366 0.866 0.000
3 Li 0.634 0.134 0.000
4 Li 0.866 0.634 0.000
5 Ca 0.170 0.670 0.500
6 Ca 0.330 0.170 0.500
7 Ca 0.670 0.830 0.500
8 Ca 0.830 0.330 0.500
9 Te 0.000 0.000 0.000
10 Te 0.500 0.500 0.000

Values from the calculation:
Density: 2.7 g cm⁻³

How do the structures above rank in stability at the extremes? a comes first and b comes last.